No. 1
Below is a relaxed structure of HfAl2, with properties calculated at the GGA-PBEsol level.

Cell lengths 5.2082, 5.2082, 8.6393 Å; angles 90.00, 90.00, 120.00 degrees
Space group P6_3/mmc (No. 194)
Symmetry-distinct sites (fractional):
Hf: 0.3333 0.6667 0.0642
Al: 0.0000 0.0000 0.0000
Al: 0.1707 0.3414 0.7500

Values from the calculation:
The value obtained for the total magnetization is 0.0 μB per formula unit. The calculation puts the total DFT energy (no corrections) at -6.674 eV/atom. Its crystal system is hexagonal. For the formation energy, the calculation gives -446 meV/atom.

No. 2
Below is a relaxed structure of SiPb3Cl, with properties calculated at the GGA-PBEsol level.

Cell lengths 5.3900, 5.3900, 5.3900 Å; angles 90.00, 90.00, 90.00 degrees
Space group Pm-3m (No. 221)
Symmetry-distinct sites (fractional):
Si: 0.0000 0.0000 0.0000
Pb: 0.0000 0.0000 0.5000
Cl: 0.5000 0.5000 0.5000

Values from the calculation:
The value obtained for the total magnetization is 0.0 μB per formula unit. Its relative energy among the computed polymorphs is 0.000 eV/atom. The calculation puts the total DFT energy (no corrections) at -3.632 eV/atom. Its crystal system is cubic. The value obtained for the raw formation energy is 0.318 eV per atom.